# RbCa2AlIn

RbCa2AlIn after structural relaxation (PBE, the Alexandria database).

## Properties
The uncorrected energy comes out at -6.11 eV per cell. The density is 2.30 g/cm3. Its formation energy is 1.069 eV/atom. For the density of states at the Fermi level, the calculation gives 0.78 states/eV per atom.

Lattice parameters (Å, degrees): 6.272 5.650 6.272 90.00 90.00 90.00
Sites, in units of the cell vectors:
Rb: 0.000 0.000 0.000
Al: 0.000 0.500 0.000
Ca: 0.000 0.000 0.500
Ca: 0.500 0.000 0.000
In: 0.500 0.500 0.500